*P*
VASP calculation (PBE) on a relaxed structure of SmYTlZn.

Cell: 5.2866 5.2866 5.2866 Å, 60.00 60.00 60.00°
Last column: nearest neighbours and their distance in Å.
Sites, in units of the cell vectors:
Sm: 0.0000 0.0000 0.0000  4 Tl 3.24, 4 Zn 3.24
Y: 0.5000 0.5000 0.5000  4 Tl 3.24, 4 Zn 3.24
Tl: 0.7500 0.7500 0.7500  4 Sm 3.24, 4 Y 3.24
Zn: 0.2500 0.2500 0.2500  4 Sm 3.24, 4 Y 3.24

## Properties
SG	F-43m
magnetization	0.000	μB/f.u.

---

*Q*
VASP calculation (PBE) on a relaxed structure of SmYTlZn.

Cell: 3.7037 3.7037 7.5259 Å, 90.00 90.00 90.00°
Last column: nearest neighbours and their distance in Å.
Sites, in units of the cell vectors:
Sm: 0.0000 0.0000 0.0000  4 Zn 3.17, 4 Tl 3.35, 1 Y 3.44
Y: 0.0000 0.0000 0.5423  4 Zn 3.10, 4 Tl 3.29, 1 Sm 3.44
Tl: 0.5000 0.5000 0.2779  4 Y 3.29, 4 Sm 3.35, 1 Zn 3.64
Zn: 0.5000 0.5000 0.7616  4 Y 3.10, 4 Sm 3.17

## Properties
SG	P4mm
magnetization	0.000	μB/f.u.

---

Q: Which of them is the most stable? A: *Q*.

---

*P*
VASP calculation (PBE) on a relaxed structure of Sm4Tl3Zn.

Cell: 3.7188 3.7188 15.9822 Å, 90.00 90.00 90.00°
Last column: nearest neighbours and their distance in Å.
Sites, in units of the cell vectors:
Sm: 0.0000 0.0000 0.1089  4 Zn 3.15, 4 Tl 3.34, 1 Sm 3.48
Sm: 0.0000 0.0000 0.3692  8 Tl 3.36-3.37, 4 Sm 3.72
Sm: 0.0000 0.0000 0.6308  8 Tl 3.36-3.37, 4 Sm 3.72
Sm: 0.0000 0.0000 0.8911  4 Zn 3.15, 4 Tl 3.34, 1 Sm 3.48
Tl: 0.5000 0.5000 0.2377  8 Sm 3.34-3.37, 4 Tl 3.72
Tl: 0.5000 0.5000 0.5000  8 Sm 3.36, 4 Tl 3.72
Tl: 0.5000 0.5000 0.7623  8 Sm 3.34-3.37, 4 Tl 3.72
Zn: 0.5000 0.5000 0.0000  8 Sm 3.15

## Properties
SG	P4/mmm
magnetization	0.001	μB/f.u.

---

*Q*
VASP calculation (PBE) on a relaxed structure of Sm4Tl3Zn.

Cell: 4.3829 4.5592 11.7049 Å, 90.00 90.00 90.00°
Last column: nearest neighbours and their distance in Å.
Sites, in units of the cell vectors:
Sm: 0.0000 0.0000 0.0000  5 Tl 3.22-3.26, 2 Zn 3.31
Sm: 0.0000 0.5000 0.2691  3 Tl 3.20-3.37, 4 Zn 3.23
Sm: 0.5000 0.0000 0.4802  1 Zn 3.14, 4 Tl 3.25
Sm: 0.5000 0.5000 0.7738  7 Tl 3.22-3.48
Tl: 0.0000 0.0000 0.7215  2 Tl 3.10, 5 Sm 3.22-3.26
Tl: 0.0000 0.5000 0.5425  2 Tl 3.10, 5 Sm 3.20-3.25
Tl: 0.5000 0.5000 0.0507  2 Zn 2.96, 5 Sm 3.22-3.24
Zn: 0.5000 0.0000 0.2122  2 Tl 2.96, 7 Sm 3.14-3.31

## Properties
SG	Pmm2
magnetization	0.163	μB/f.u.

---

Q: Which of them is the most stable? A: *P*.